Density functional theory data (PBE with a Hubbard U) for crystalline InNiPt2F at its relaxed geometry.

Calculated values
space-group type	P4/mmm (123)
final energy	-15.66	eV per cell
M_tot	0.00	μB per formula unit

a b c (Å): 4.366 4.366 4.443
angles (deg): 90.00 90.00 90.00
Element x y z (fractional)
In (0.000, 0.000, 0.000)
Ni (0.500, 0.500, 0.000)
Pt (0.000, 0.500, 0.500)
Pt (0.500, 0.000, 0.500)
F (0.000, 0.000, 0.500)